<A>
5
Lattice="5.246 0.000 0.000 0.000 5.246 0.000 0.000 0.000 5.246" Properties=species:S:1:pos:R:3 comment="PdPb3W | the Alexandria database | PBE | optimized geometry" m_tot_mub_per_cell=0.2 pbc="T T T"
Pd 0.000 0.000 0.000
Pb 0.000 0.000 2.623
Pb 0.000 2.623 0.000
Pb 2.623 0.000 0.000
W 2.623 2.623 2.623


<B>
5
Lattice="5.368 0.000 0.000 0.000 5.368 0.000 0.000 0.000 5.368" Properties=species:S:1:pos:R:3 comment="PdPb3W | the Alexandria database | PBE | optimized geometry" m_tot_mub_per_cell=0.0 pbc="T T T"
Pd 0.000 0.000 0.000
Pb 0.000 2.684 2.684
Pb 2.684 0.000 2.684
Pb 2.684 2.684 0.000
W 2.684 2.684 2.684


Quick one: least stable of them? <A>


<A>
10
Lattice="5.420 0.000 0.000 0.000 7.061 0.000 -1.277 0.000 5.416" Properties=species:S:1:pos:R:3 comment="YPd3Pb | the Alexandria database | PBE | optimized geometry" m_tot_mub_per_cell=0.0 pbc="T T T"
Y 0.586 1.765 1.427
Y 3.557 5.296 3.989
Pd -0.748 1.765 4.056
Pd 0.842 3.943 3.378
Pd 0.842 6.648 3.378
Pd 3.301 0.413 2.037
Pd 3.301 3.118 2.037
Pd 4.890 5.296 1.360
Pb 2.121 5.296 0.661
Pb 2.021 1.765 4.755


<B>
5
Lattice="5.024 0.000 0.000 0.000 5.024 0.000 0.000 0.000 5.024" Properties=species:S:1:pos:R:3 comment="YPd3Pb | the Alexandria database | PBE | optimized geometry" m_tot_mub_per_cell=0.0 pbc="T T T"
Y 0.000 0.000 0.000
Pd 0.000 2.512 2.512
Pd 2.512 0.000 2.512
Pd 2.512 2.512 0.000
Pb 2.512 2.512 2.512


Quick one: least stable of them? <B>


<A>
8
Lattice="3.727 2.152 3.441 -3.727 2.152 3.441 0.000 -4.303 3.441" Properties=species:S:1:pos:R:3 comment="YPd6Pb | the Alexandria database | PBE | optimized geometry" m_tot_mub_per_cell=0.0 pbc="T T T"
Y 0.000 0.000 0.000
Pd 0.000 -1.598 2.939
Pd -1.384 0.799 2.939
Pd -1.384 -0.799 7.383
Pd 1.384 0.799 2.939
Pd 1.384 -0.799 7.383
Pd 0.000 1.598 7.383
Pb 0.000 0.000 5.161


<B>
8
Lattice="4.133 0.000 0.000 0.000 4.133 0.000 0.000 0.000 8.200" Properties=species:S:1:pos:R:3 comment="YPd6Pb | the Alexandria database | PBE | optimized geometry" m_tot_mub_per_cell=0.0 pbc="T T T"
Y 0.000 0.000 0.000
Pd 0.000 2.066 2.070
Pd 0.000 2.066 6.130
Pd 2.066 0.000 2.070
Pd 2.066 0.000 6.130
Pd 2.066 2.066 0.000
Pd 2.066 2.066 4.100
Pb 0.000 0.000 4.100


Quick one: least stable of them? <A>


<A>
16
Lattice="4.141 0.000 0.000 0.000 4.141 0.000 0.000 0.000 18.241" Properties=species:S:1:pos:R:3 comment="ZnPd2Pb | the Alexandria database | PBE | optimized geometry" m_tot_mub_per_cell=0.0 pbc="T T T"
Zn 0.000 0.000 0.000
Zn 0.000 2.070 4.560
Zn 2.070 0.000 13.681
Zn 2.070 2.070 9.121
Pd 0.939 1.035 2.280
Pd 1.035 3.009 6.840
Pd 1.035 3.202 15.961
Pd 1.132 1.035 11.401
Pd 3.009 3.106 11.401
Pd 3.106 0.939 15.961
Pd 3.106 1.132 6.840
Pd 3.202 3.106 2.280
Pb 0.000 0.000 9.121
Pb 0.000 2.070 13.681
Pb 2.070 0.000 4.560
Pb 2.070 2.070 0.000


<B>
4
Lattice="4.422 0.000 0.000 0.000 4.422 0.000 0.000 0.000 3.613" Properties=species:S:1:pos:R:3 comment="ZnPd2Pb | the Alexandria database | PBE | optimized geometry" m_tot_mub_per_cell=0.0 pbc="T T T"
Zn 0.000 0.000 0.000
Pd 0.000 2.211 1.806
Pd 2.211 0.000 1.806
Pb 2.211 2.211 0.000


Quick one: least stable of them? <A>


<A>
4
Lattice="3.202 0.000 0.000 0.000 3.202 0.000 0.000 0.000 6.917" Properties=species:S:1:pos:R:3 comment="ZnPd2Pb | the Alexandria database | PBE | optimized geometry" m_tot_mub_per_cell=0.0 pbc="T T T"
Zn 0.000 0.000 0.000
Pd 1.601 1.601 1.435
Pd 1.601 1.601 5.482
Pb 0.000 0.000 3.459


<B>
12
Lattice="4.217 0.000 0.000 -2.109 3.652 0.000 0.000 0.000 14.842" Properties=species:S:1:pos:R:3 comment="ZnPd2Pb | the Alexandria database | PBE | optimized geometry" m_tot_mub_per_cell=0.0 pbc="T T T"
Zn 0.000 0.000 0.000
Zn 0.000 2.435 9.895
Zn 2.109 1.217 4.947
Pd 0.000 0.000 5.671
Pd 0.000 0.000 8.794
Pd 0.000 2.435 0.724
Pd 0.000 2.435 3.846
Pd 2.109 1.217 10.619
Pd 2.109 1.217 13.741
Pb 0.000 0.000 12.059
Pb 0.000 2.435 7.111
Pb 2.109 1.217 2.164


<C>
16
Lattice="6.555 0.000 0.000 0.000 6.555 0.000 0.000 0.000 6.555" Properties=species:S:1:pos:R:3 comment="ZnPd2Pb | the Alexandria database | PBE | optimized geometry" m_tot_mub_per_cell=0.0 pbc="T T T"
Zn 0.000 0.000 0.000
Zn 0.000 3.278 3.278
Zn 3.278 0.000 3.278
Zn 3.278 3.278 0.000
Pd 1.639 1.639 1.639
Pd 1.639 1.639 4.916
Pd 1.639 4.916 1.639
Pd 1.639 4.916 4.916
Pd 4.916 1.639 1.639
Pd 4.916 1.639 4.916
Pd 4.916 4.916 1.639
Pd 4.916 4.916 4.916
Pb 0.000 0.000 3.278
Pb 0.000 3.278 0.000
Pb 3.278 0.000 0.000
Pb 3.278 3.278 3.278


Quick one: least stable of them? <B>


<A>
16
Lattice="7.108 0.000 0.000 0.000 7.108 0.000 0.000 0.000 7.108" Properties=species:S:1:pos:R:3 comment="ZnPdPb2 | the Alexandria database | PBE | optimized geometry" m_tot_mub_per_cell=0.0 pbc="T T T"
Zn 0.000 0.000 0.000
Zn 0.000 3.554 3.554
Zn 3.554 0.000 3.554
Zn 3.554 3.554 0.000
Pd 0.000 0.000 3.554
Pd 0.000 3.554 0.000
Pd 3.554 0.000 0.000
Pd 3.554 3.554 3.554
Pb 1.777 1.777 1.777
Pb 1.777 1.777 5.331
Pb 1.777 5.331 1.777
Pb 1.777 5.331 5.331
Pb 5.331 1.777 1.777
Pb 5.331 1.777 5.331
Pb 5.331 5.331 1.777
Pb 5.331 5.331 5.331


<B>
12
Lattice="3.320 0.000 0.000 -1.660 2.875 0.000 0.000 0.000 30.694" Properties=species:S:1:pos:R:3 comment="ZnPdPb2 | the Alexandria database | PBE | optimized geometry" m_tot_mub_per_cell=0.0 pbc="T T T"
Zn 0.000 0.000 0.000
Zn 0.000 1.917 20.463
Zn 1.660 0.958 10.231
Pd 0.000 0.000 15.347
Pd 0.000 1.917 5.116
Pd 1.660 0.958 25.578
Pb 0.000 0.000 12.655
Pb 0.000 0.000 18.039
Pb 0.000 1.917 2.423
Pb 0.000 1.917 7.808
Pb 1.660 0.958 22.886
Pb 1.660 0.958 28.271


Quick one: least stable of them? <B>


<A>
5
Lattice="5.332 0.000 0.000 0.000 5.332 0.000 0.000 0.000 5.332" Properties=species:S:1:pos:R:3 comment="Zr3PdPb | the Alexandria database | PBE | optimized geometry" m_tot_mub_per_cell=0.0 pbc="T T T"
Zr 0.000 0.000 2.666
Zr 0.000 2.666 0.000
Zr 2.666 0.000 0.000
Pd 2.666 2.666 2.666
Pb 0.000 0.000 0.000


<B>
5
Lattice="5.084 0.000 0.000 0.000 5.084 0.000 0.000 0.000 5.084" Properties=species:S:1:pos:R:3 comment="Zr3PdPb | the Alexandria database | PBE | optimized geometry" m_tot_mub_per_cell=0.0 pbc="T T T"
Zr 0.000 0.000 2.542
Zr 0.000 2.542 0.000
Zr 2.542 0.000 0.000
Pd 0.000 0.000 0.000
Pb 2.542 2.542 2.542


Quick one: least stable of them? <A>


<A>
5
Lattice="5.948 0.000 0.000 0.000 5.948 0.000 0.000 0.000 5.948" Properties=species:S:1:pos:R:3 comment="PmPb4 | the Alexandria database | PBE | optimized geometry" m_tot_mub_per_cell=0.0 pbc="T T T"
Pm 0.000 0.000 0.000
Pb 0.000 0.000 2.974
Pb 0.000 2.974 0.000
Pb 2.974 0.000 0.000
Pb 2.974 2.974 2.974


<B>
10
Lattice="11.479 0.000 0.000 0.000 4.570 0.000 -5.720 0.000 5.751" Properties=species:S:1:pos:R:3 comment="PmPb4 | the Alexandria database | PBE | optimized geometry" m_tot_mub_per_cell=0.0 pbc="T T T"
Pm 0.000 0.000 0.000
Pm 5.739 2.285 0.000
Pb -3.364 2.285 4.663
Pb -1.074 0.000 3.391
Pb 1.093 2.285 2.360
Pb 3.383 0.000 1.088
Pb 2.375 0.000 4.663
Pb 4.665 2.285 3.391
Pb 6.832 0.000 2.360
Pb 9.122 2.285 1.088


Quick one: least stable of them? <A>


<A>
12
Lattice="4.842 0.000 0.000 0.000 15.911 0.000 0.000 0.000 4.758" Properties=species:S:1:pos:R:3 comment="PmPb5 | the Alexandria database | PBE | optimized geometry" m_tot_mub_per_cell=0.0 pbc="T T T"
Pm 0.000 0.000 0.000
Pm 2.421 7.956 0.000
Pb 0.000 2.691 2.379
Pb 0.000 5.429 0.000
Pb 0.000 7.956 2.379
Pb 0.000 10.482 0.000
Pb 0.000 13.220 2.379
Pb 2.421 0.000 2.379
Pb 2.421 2.526 0.000
Pb 2.421 5.265 2.379
Pb 2.421 10.647 2.379
Pb 2.421 13.385 0.000


<B>
12
Lattice="6.004 0.000 0.000 0.000 10.761 0.000 -1.777 0.000 5.693" Properties=species:S:1:pos:R:3 comment="PmPb5 | the Alexandria database | PBE | optimized geometry" m_tot_mub_per_cell=0.0 pbc="T T T"
Pm 0.000 0.000 0.000
Pm 3.002 5.380 0.000
Pb -0.889 1.747 2.846
Pb 0.000 3.529 0.000
Pb -0.889 5.380 2.846
Pb 0.000 7.232 0.000
Pb -0.889 9.014 2.846
Pb 2.114 0.000 2.846
Pb 3.002 1.851 0.000
Pb 2.114 3.634 2.846
Pb 2.114 7.127 2.846
Pb 3.002 8.909 0.000


Quick one: least stable of them? <B>


<A>
10
Lattice="5.288 0.000 0.000 -2.644 4.579 0.000 0.000 0.000 13.435" Properties=species:S:1:pos:R:3 comment="PmPr2Pb2 | the Alexandria database | PBE | optimized geometry" m_tot_mub_per_cell=0.0 pbc="T T T"
Pm 0.000 0.000 3.359
Pm 0.000 0.000 10.077
Pr 0.000 0.000 0.000
Pr 0.000 0.000 6.718
Pr 0.000 3.053 3.359
Pr 2.644 1.526 10.077
Pb 0.000 3.053 8.380
Pb 0.000 3.053 11.773
Pb 2.644 1.526 1.662
Pb 2.644 1.526 5.055


<B>
10
Lattice="-4.443 6.159 3.277 4.443 -6.159 3.277 4.443 6.159 -3.277" Properties=species:S:1:pos:R:3 comment="PmPr2Pb2 | the Alexandria database | PBE | optimized geometry" m_tot_mub_per_cell=2.3 pbc="T T T"
Pm 0.000 0.000 1.639
Pm 0.000 0.000 4.916
Pr 5.684 1.766 0.000
Pr 1.241 4.394 0.000
Pr 3.202 1.766 3.277
Pr -1.241 4.394 3.277
Pb 2.443 1.443 0.000
Pb 2.443 -1.443 3.277
Pb 2.001 7.602 0.000
Pb 2.001 4.717 3.277


Quick one: least stable of them? <A>


<A>
16
Lattice="19.098 0.000 0.000 0.000 5.150 0.000 -1.381 0.000 4.965" Properties=species:S:1:pos:R:3 comment="PmPr3Pb4 | the Alexandria database | PBE | optimized geometry" m_tot_mub_per_cell=0.1 pbc="T T T"
Pm 0.000 0.000 0.000
Pm 9.549 2.575 0.000
Pr -0.691 2.575 2.482
Pr 4.427 0.000 1.241
Pr 3.740 2.575 3.724
Pr 8.858 0.000 2.482
Pr 13.289 0.000 3.724
Pr 13.976 2.575 1.241
Pb 1.510 0.000 3.098
Pb 2.201 2.575 0.616
Pb 5.967 0.000 4.348
Pb 6.657 2.575 1.866
Pb 11.750 0.000 0.616
Pb 11.059 2.575 3.098
Pb 16.206 0.000 1.866
Pb 15.516 2.575 4.348


<B>
16
Lattice="3.728 0.000 0.000 0.000 7.477 0.000 0.000 0.000 18.990" Properties=species:S:1:pos:R:3 comment="PmPr3Pb4 | the Alexandria database | PBE | optimized geometry" m_tot_mub_per_cell=0.0 pbc="T T T"
Pm 0.000 0.000 0.000
Pm 1.864 3.738 9.495
Pr 0.000 0.000 9.495
Pr 0.000 3.738 5.342
Pr 0.000 3.738 13.647
Pr 1.864 0.000 4.152
Pr 1.864 0.000 14.837
Pr 1.864 3.738 0.000
Pb 0.000 2.123 2.414
Pb 0.000 2.123 16.576
Pb 0.000 5.354 2.414
Pb 0.000 5.354 16.576
Pb 1.864 1.615 7.081
Pb 1.864 1.615 11.909
Pb 1.864 5.862 7.081
Pb 1.864 5.862 11.909


Quick one: least stable of them? <B>


<A>
16
Lattice="7.863 0.000 0.000 0.000 7.863 0.000 0.000 0.000 7.863" Properties=species:S:1:pos:R:3 comment="PmPrTePb | the Alexandria database | PBE | optimized geometry" m_tot_mub_per_cell=0.0 pbc="T T T"
Pm 0.000 0.000 0.000
Pm 0.000 3.931 3.931
Pm 3.931 0.000 3.931
Pm 3.931 3.931 0.000
Pr 0.000 0.000 3.931
Pr 0.000 3.931 0.000
Pr 3.931 0.000 0.000
Pr 3.931 3.931 3.931
Te 1.966 1.966 1.966
Te 1.966 5.897 5.897
Te 5.897 1.966 5.897
Te 5.897 5.897 1.966
Pb 1.966 1.966 5.897
Pb 1.966 5.897 1.966
Pb 5.897 1.966 1.966
Pb 5.897 5.897 5.897


<B>
4
Lattice="4.546 0.000 0.000 0.000 4.546 0.000 0.000 0.000 6.417" Properties=species:S:1:pos:R:3 comment="PmPrTePb | the Alexandria database | PBE | optimized geometry" m_tot_mub_per_cell=0.0 pbc="T T T"
Pm 0.000 0.000 0.000
Pr 2.273 2.273 3.208
Te 0.000 0.000 3.208
Pb 2.273 2.273 0.000


Quick one: least stable of them? <A>


<A>
16
Lattice="7.508 0.000 0.000 0.000 12.886 0.000 0.000 0.000 5.339" Properties=species:S:1:pos:R:3 comment="Pm3PuPb4 | the Alexandria database | PBE | optimized geometry" m_tot_mub_per_cell=11.0 pbc="T T T"
Pm 0.000 0.000 0.000
Pm 1.877 3.222 2.670
Pm 1.877 9.665 2.670
Pm 3.754 6.443 0.000
Pm 5.631 3.222 2.670
Pm 5.631 9.665 2.670
Pu 0.000 6.443 0.000
Pu 3.754 0.000 0.000
Pb 0.000 3.238 0.000
Pb 0.000 9.648 0.000
Pb 1.858 6.443 2.670
Pb 1.896 0.000 2.670
Pb 3.754 3.205 0.000
Pb 3.754 9.681 0.000
Pb 5.612 0.000 2.670
Pb 5.650 6.443 2.670


<B>
8
Lattice="3.562 0.000 0.000 0.000 3.562 0.000 0.000 0.000 18.417" Properties=species:S:1:pos:R:3 comment="Pm3PuPb4 | the Alexandria database | PBE | optimized geometry" m_tot_mub_per_cell=6.0 pbc="T T T"
Pm 0.000 0.000 0.000
Pm 0.000 0.000 4.636
Pm 0.000 0.000 13.781
Pu 0.000 0.000 9.209
Pb 1.781 1.781 2.315
Pb 1.781 1.781 6.932
Pb 1.781 1.781 11.485
Pb 1.781 1.781 16.102


Quick one: least stable of them? <A>